## NaCuGe2Pt (PBE)

Data for crystalline NaCuGe2Pt at its relaxed geometry.

Unit cell a=4.2769 b=4.2769 c=10.1697 alpha=90.00 beta=90.00 gamma=90.00
Closest atoms and distances in Å follow each position.
Space group I-4m2 (No. 119)
Symmetry-distinct sites (fractional):
Na 0.0000 0.0000 0.0000 [2 per cell]  8 Ge 3.28, 4 Cu 3.32, 4 Pt 3.32
Cu 0.0000 0.5000 0.2500 [2 per cell]  4 Ge 2.49
Ge 0.0000 0.0000 0.3753 [4 per cell]  2 Cu 2.49, 2 Pt 2.49, 1 Ge 2.54
Pt 0.0000 0.5000 0.7500 [2 per cell]  4 Ge 2.49

ΔH_f (0 K): -260 meV/atom